# Ca2HRu

A relaxed Ca2HRu crystal (GGA-PBEsol, Alexandria via LeMat-Bulk).

```
Ca2HRu
1.0
-3.2790 3.2790 3.4838
3.2790 -3.2790 3.4838
3.2790 3.2790 -3.4838
Ca H Ru
4 2 2
Cartesian
1.6395 1.1566 -0.8709
2.1225 -1.6395 4.3547
1.6395 2.1225 2.6128
1.1566 4.9185 0.8709
0.0000 0.0000 0.0000
0.0000 3.2790 1.7419
3.2790 0.0000 1.7419
0.0000 0.0000 3.4838
```

Uncorrected energy: -4.075 eV per atom
D(E_F): 1.04 states/eV per atom
Space group: I-42d, No. 122
Crystal system: tetragonal

***

# Ca2H2S

A relaxed Ca2H2S crystal (GGA-PBEsol, Alexandria via LeMat-Bulk).

```
Ca2H2S
1.0
-1.7930 1.7930 5.8548
1.7930 -1.7930 5.8548
1.7930 1.7930 -5.8548
Ca H S
2 2 1
Cartesian
0.0000 0.0000 1.6000
0.0000 0.0000 10.1096
1.7930 0.0000 2.9274
0.0000 1.7930 2.9274
0.0000 0.0000 5.8548
```

Uncorrected energy: -4.212 eV per atom
D(E_F): 0.00 states/eV per atom
Space group: I4/mmm, No. 139
Crystal system: tetragonal

***

# CaSb2H

A relaxed CaSb2H crystal (GGA-PBEsol, Alexandria via LeMat-Bulk).

```
CaSb2H
1.0
0.0000 3.5760 3.5760
3.5760 0.0000 3.5760
3.5760 3.5760 0.0000
Ca Sb H
1 2 1
Cartesian
0.0000 0.0000 0.0000
1.7880 1.7880 1.7880
5.3639 5.3639 5.3639
3.5760 3.5760 3.5760
```

Uncorrected energy: -3.391 eV per atom
D(E_F): 0.63 states/eV per atom
Space group: Fm-3m, No. 225
Crystal system: cubic

***

# CaZrSbH2

A relaxed CaZrSbH2 crystal (GGA-PBEsol, Alexandria via LeMat-Bulk).

```
CaZrSbH2
1.0
4.0622 0.0000 0.0000
0.0000 4.0622 0.0000
0.0000 0.0000 6.2292
Ca Zr Sb H
1 1 1 2
Cartesian
0.0000 0.0000 0.0000
2.0311 2.0311 3.1146
0.0000 0.0000 3.1146
0.0000 2.0311 0.0000
2.0311 0.0000 0.0000
```

Uncorrected energy: -4.444 eV per atom
D(E_F): 0.52 states/eV per atom
Space group: P4/mmm, No. 123
Crystal system: tetragonal

***

no.,total magnetization (μB/atom)
1,0.213
2,0.000
3,0.171
4,0.132